# 1
{"formula": "NdErV4", "functional": "PBE-GGA", "state": "optimized geometry", "cell": [[-4.801, -0.865, -2.310], [-0.996, -4.689, -2.480], [-3.450, -3.529, 2.185]], "species": ["Nd", "V", "V", "V", "V", "Er"], "frac_coords": [[0.250, 0.250, 0.250], [0.630, 0.111, 0.630], [0.111, 0.630, 0.630], [0.630, 0.630, 0.111], [0.630, 0.630, 0.630], [0.000, 0.000, 0.000]], "density_g_cm3": 7.70, "e_tot_ev_per_fu": -43.522, "vol_a3_per_atom": 18.5}

***

# 2
{"formula": "Nd2Y3Er4", "functional": "PBE-GGA", "state": "optimized geometry", "cell": [[-2.577, 0.254, -5.573], [-0.996, -9.625, -5.792], [-10.311, -4.395, -1.245]], "species": ["Y", "Y", "Y", "Y", "Y", "Y", "Nd", "Nd", "Nd", "Nd", "Er", "Er", "Er", "Er", "Er", "Er", "Er", "Er"], "frac_coords": [[0.750, 0.401, 0.599], [0.250, 0.599, 0.401], [0.268, 0.263, 0.066], [0.232, 0.934, 0.737], [0.768, 0.066, 0.263], [0.732, 0.737, 0.934], [0.925, 0.522, 0.232], [0.075, 0.478, 0.768], [0.575, 0.768, 0.478], [0.425, 0.232, 0.522], [0.416, 0.578, 0.855], [0.423, 0.907, 0.186], [0.077, 0.814, 0.093], [0.584, 0.422, 0.145], [0.916, 0.855, 0.578], [0.577, 0.093, 0.814], [0.084, 0.145, 0.422], [0.923, 0.186, 0.907]], "density_g_cm3": 7.03, "e_tot_ev_per_fu": -46.319, "vol_a3_per_atom": 32.1}

***

# 3
{"formula": "NdY4Er3", "functional": "PBE-GGA", "state": "optimized geometry", "cell": [[-1.151, -6.153, -0.638], [6.503, -1.519, 2.923], [-4.666, -0.194, 10.281]], "species": ["Y", "Y", "Y", "Y", "Y", "Y", "Y", "Y", "Er", "Er", "Er", "Er", "Er", "Er", "Nd", "Nd"], "frac_coords": [[0.147, 0.874, 0.500], [0.645, 0.126, 0.500], [0.983, 0.126, 0.748], [0.483, 0.874, 0.248], [0.983, 0.126, 0.252], [0.145, 0.874, 0.000], [0.483, 0.874, 0.752], [0.647, 0.126, 0.000], [0.980, 0.624, 0.750], [0.480, 0.376, 0.750], [0.980, 0.624, 0.250], [0.480, 0.376, 0.250], [0.148, 0.376, 0.500], [0.648, 0.624, 0.000], [0.649, 0.624, 0.500], [0.149, 0.376, 0.000]], "density_g_cm3": 6.42, "e_above_lowest_polymorph_kj_per_mol_atoms": 0.0, "vol_a3_per_atom": 32.4}